[1]
Li2TaHg | PBE | optimized geometry

Geometry as POSCAR:
```
Li2TaHg
1.0
-2.1044 0.9051 -3.8503
1.4023 -2.0034 -1.2374
-3.4458 -4.7629 0.7637
Hg Li Ta
1 2 1
Direct
0.5000 0.8114 0.7541
0.5000 0.0871 0.2284
0.0000 0.1633 0.0109
0.0000 0.4382 0.5066
```

Summary:
Calculated formation energy (eV/f.u.): 1.08

---

[2]
OsRu2Pb | PBE | optimized geometry

Geometry as POSCAR:
```
OsRu2Pb
1.0
-0.7106 3.1780 -3.5702
-4.7800 0.4580 -0.5418
2.7341 0.3305 3.9708
Ru Os Pb
2 1 1
Direct
0.0000 0.0000 0.0000
0.5000 0.5000 0.0000
0.7500 0.2500 0.5000
0.2500 0.7500 0.5000
```

Summary:
Calculated formation energy (eV/f.u.): 2.51

---

[3]
EuThZnNi | PBE | optimized geometry

Geometry as POSCAR:
```
EuThZnNi
1.0
-0.1952 -0.5743 -5.0397
1.1842 -4.4704 -2.0928
-3.6317 -2.8659 -2.0891
Zn Eu Th Ni
1 1 1 1
Direct
0.7500 0.7500 0.7500
0.0000 0.0000 0.0000
0.5000 0.5000 0.5000
0.2500 0.2500 0.2500
```

Summary:
Calculated formation energy (eV/f.u.): -0.51

---

[4]
Hf3ZrZn | PBE | optimized geometry

Geometry as POSCAR:
```
Hf3ZrZn
1.0
-0.5421 4.3457 3.5525
-7.3088 -4.5220 1.8952
4.0020 -5.8378 5.2310
Hf Zr Zn
12 4 4
Direct
0.6276 0.1229 0.2661
0.3767 0.6256 0.0048
0.1233 0.9952 0.3744
0.9722 0.6703 0.5447
0.8767 0.0048 0.6256
0.4722 0.5447 0.6703
0.5278 0.4553 0.3297
0.6233 0.3744 0.9952
0.3724 0.8771 0.7339
0.8724 0.7339 0.8771
0.1276 0.2661 0.1229
0.0278 0.3297 0.4553
0.5032 0.7854 0.3906
0.4968 0.2146 0.6094
0.9968 0.6094 0.2146
0.0032 0.3906 0.7854
0.7500 0.0904 0.9096
0.2500 0.9096 0.0904
0.7500 0.8759 0.1241
0.2500 0.1241 0.8759
```

Summary:
Calculated formation energy (eV/f.u.): -0.12
Relative energy among the computed polymorphs (eV/f.u.): 0.00

---

[5]
Co2MoH | PBE | optimized geometry

Geometry as POSCAR:
```
Co2MoH
1.0
4.9702 0.0000 0.0000
0.0000 4.9702 0.0000
2.4851 2.4851 3.2838
Mo H Co
2 2 4
Direct
0.7500 0.2500 0.5000
0.0000 0.0000 0.0000
0.2500 0.7500 0.5000
0.5000 0.5000 0.0000
0.4703 0.1250 0.2500
0.3750 0.5297 0.7500
0.8750 0.7203 0.7500
0.2797 0.6250 0.2500
```

Summary:
Relative energy among the computed polymorphs (eV/f.u.): 0.63

---

[6]
SmMg5Ni2 | PBE | optimized geometry

Geometry as POSCAR:
```
SmMg5Ni2
1.0
3.8799 0.0000 1.2843
1.4567 6.1697 2.1021
-0.0544 -0.3896 6.6672
Mg Ni Sm
5 2 1
Direct
0.6624 0.1525 0.5227
0.3376 0.4773 0.8475
0.0000 0.5000 0.5000
0.3376 0.8475 0.4773
0.6624 0.5227 0.1525
0.2726 0.2274 0.2274
0.7274 0.7726 0.7726
0.0000 0.0000 0.0000
```

Summary:
Calculated formation energy (eV/f.u.): -1.14

---

[7]
LiTaMn2 | PBE | optimized geometry

Geometry as POSCAR:
```
LiTaMn2
1.0
4.1374 0.0114 0.0000
-0.0095 4.1375 0.0000
0.0000 0.0000 3.1906
Li Mn Ta
1 2 1
Direct
0.0000 0.5000 0.5000
0.0000 0.0000 0.0000
0.5000 0.5000 0.0000
0.5000 0.0000 0.5000
```

Summary:
Calculated formation energy (eV/f.u.): 0.84

---

[8]
Pm8Nd2Sm | PBE | optimized geometry

Geometry as POSCAR:
```
Pm8Nd2Sm
1.0
-0.7582 -2.1918 -5.2477
-9.5172 -2.4500 3.0840
-9.4330 4.1234 0.3263
Pm Nd Sm
8 2 1
Direct
0.2294 0.1864 0.1864
0.7706 0.8136 0.8136
0.2697 0.6064 0.1359
0.2359 0.5446 0.5446
0.7641 0.4554 0.4554
0.7303 0.8641 0.3936
0.2697 0.1359 0.6064
0.7303 0.3936 0.8641
0.7432 0.2841 0.2841
0.2568 0.7159 0.7159
0.0000 0.0000 0.0000
```

Summary:
Calculated formation energy (eV/f.u.): 1.73
Relative energy among the computed polymorphs (eV/f.u.): 1.58

---

| no. | ρ (g/cm3) | total magnetization (μB/cell) |
| --- | --- | --- |
| 1 | 9.27 | 0.00 |
| 2 | 15.48 | 0.00 |
| 3 | 9.12 | 7.00 |
| 4 | 10.90 | 0.00 |
| 5 | 8.79 | 0.00 |
| 6 | 3.98 | 0.00 |
| 7 | 9.05 | 3.67 |
| 8 | 6.73 | 0.00 |